Y3TcPd | GGA-PBE | relaxed

Geometry as CIF:
```
data_Y3TcPd
_chemical_formula_sum 'Y3 Tc1 Pd1'
_cell_length_a 5.235
_cell_length_b 5.235
_cell_length_c 5.235
_cell_angle_alpha 90.00
_cell_angle_beta 90.00
_cell_angle_gamma 90.00
_space_group_name_H-M_alt 'P 1'
_space_group_IT_number 1
loop_
_space_group_symop_operation_xyz
'x,y,z'
loop_
_atom_site_label
_atom_site_fract_x
_atom_site_fract_y
_atom_site_fract_z
Y1 0.000 0.500 0.000
Y2 0.000 0.000 0.500
Y3 0.500 0.000 0.000
Tc1 0.000 0.000 0.000
Pd1 0.500 0.500 0.500
```

Results
The value obtained for the electronic total energy is -34.1 eV per cell. The energy above the most stable polymorph in this dataset comes out at 0.0 kJ per mole of atoms. As for the energy of formation from the pure elements: 178 meV/atom.

Y8Tc2Pd | GGA-PBE | relaxed

Geometry as CIF:
```
data_Y8Tc2Pd
_chemical_formula_sum 'Y8 Tc2 Pd1'
_cell_length_a 5.854
_cell_length_b 7.674
_cell_length_c 7.674
_cell_angle_alpha 112.57
_cell_angle_beta 100.41
_cell_angle_gamma 100.41
_space_group_name_H-M_alt 'P 1'
_space_group_IT_number 1
loop_
_space_group_symop_operation_xyz
'x,y,z'
loop_
_atom_site_label
_atom_site_fract_x
_atom_site_fract_y
_atom_site_fract_z
Y1 0.585 0.343 0.079
Y2 0.585 0.079 0.343
Y3 0.186 0.372 0.372
Y4 0.989 0.221 0.785
Y5 0.989 0.785 0.221
Y6 0.793 0.631 0.631
Y7 0.391 0.928 0.666
Y8 0.391 0.666 0.928
Tc1 0.489 0.695 0.315
Tc2 0.489 0.315 0.695
Pd1 0.113 0.999 0.999
```

Results
The value obtained for the electronic total energy is -79.2 eV per cell. As for the energy of formation from the pure elements: -141 meV/atom.

YTcPd3 | GGA-PBE | relaxed

Geometry as CIF:
```
data_YTcPd3
_chemical_formula_sum 'Y1 Tc1 Pd3'
_cell_length_a 4.806
_cell_length_b 4.806
_cell_length_c 4.806
_cell_angle_alpha 90.00
_cell_angle_beta 90.00
_cell_angle_gamma 90.00
_space_group_name_H-M_alt 'P 1'
_space_group_IT_number 1
loop_
_space_group_symop_operation_xyz
'x,y,z'
loop_
_atom_site_label
_atom_site_fract_x
_atom_site_fract_y
_atom_site_fract_z
Y1 0.500 0.500 0.500
Tc1 0.000 0.000 0.000
Pd1 0.000 0.500 0.000
Pd2 0.000 0.000 0.500
Pd3 0.500 0.000 0.000
```

Results
The value obtained for the electronic total energy is -30.3 eV per cell. The energy above the most stable polymorph in this dataset comes out at 0.0 kJ per mole of atoms. As for the energy of formation from the pure elements: 430 meV/atom.